DFT (GGA-PBE) results for an optimized crystal structure of Rb2BRhCl6.

Calculated values
The uncorrected formation energy is -0.78 eV/atom. Its total magnetic moment is 0.0000 μB per atom.

The structure in extended XYZ format:
```
10
Lattice="-3.296 3.296 5.624 3.296 -3.296 5.624 3.296 3.296 -5.624" Properties=species:S:1:pos:R:3 pbc="T T T"
Rb 3.296 0.000 2.812
Rb 0.000 3.296 2.812
B 0.000 0.000 0.000
Rh 0.000 0.000 5.624
Cl 1.483 1.483 0.000
Cl 1.813 -1.813 5.624
Cl 0.000 0.000 3.242
Cl 0.000 0.000 8.006
Cl -1.813 1.813 5.624
Cl 1.813 1.813 5.624
```